4
Lattice="2.573 0.000 0.000 0.000 2.573 0.000 0.000 0.000 7.347" Properties=species:S:1:pos:R:3 comment="Mn2CrTc, optimized geometry, DFT PBE-GGA" vol_a3_per_cell=49 final_energy_ev_per_atom=-9.436 de_polymorph_ev_per_fu=0.24 e_form_ev_per_atom=0.1459 pbc="T T T"
Mn 0.000 0.000 0.000
Mn 1.287 1.287 1.606
Cr 1.287 1.287 5.620
Tc 0.000 0.000 3.569